# 1
## AsRhW2 (PBE)

Data for an optimized crystal structure of AsRhW2.

Computed properties:
As for the total moment: 0.00 Bohr magnetons per cell.

Cell: 5.213 5.213 5.213 Å, 146.00 129.04 62.68°
Positions (direct):
As 0.000 0.000 0.000
Rh 0.779 0.279 0.500
W 0.229 0.729 0.500
W 0.513 0.513 0.000


# 2
## AsRhW (PBE)

Data for an optimized crystal structure of AsRhW.

Computed properties:
As for the total moment: 0.00 Bohr magnetons per cell. As for the relative energy among the computed polymorphs: 175 meV/atom.

Cell: 4.239 4.239 4.239 Å, 60.00 60.00 60.00°
Positions (direct):
As 0.000 0.000 0.000
Rh 0.500 0.500 0.500
W 0.250 0.250 0.250


Calculated values (eV per atom) of energy of formation from the pure elements for the records, taken in order: 0.1118; 0.2123.
Calculated values (Å³/atom) of calculated volume for the records, taken in order: 15.22; 17.96.